Here is a geometry-optimized Mg2Zr structure from the Alexandria database. Energies are from PBE-GGA.

The structure belongs to space group Cmcm (No. 63); the cell edges are 4.570, 13.059 and 4.469 Å and the angles 90.00°, 90.00° and 90.00°. The distinct sites, in fractional coordinates, are Mg at (0.000, 0.084, 0.250), Mg at (0.000, 0.251, 0.750) and Zr at (0.000, 0.419, 0.250).

The density of states at the Fermi level is 10.839 states/eV per cell. The value obtained for the formation energy is 0.08 eV per atom.